1.
# Tc4Bi GGA-PBE optimized geometry
# Final energy = -6.36 eV/atom
# SG = Pm-3m, No. 221
# Crystal system = cubic
data_Tc4Bi
_symmetry_space_group_name_H-M 'P 1'
_symmetry_Int_Tables_number 1
_symmetry_space_group_name_Hall 'P 1'
_cell_length_a 4.915
_cell_length_b 4.915
_cell_length_c 4.915
_cell_angle_alpha 90.00
_cell_angle_beta 90.00
_cell_angle_gamma 90.00
loop_
_atom_site_label
_atom_site_fract_x
_atom_site_fract_y
_atom_site_fract_z
_atom_site_occupancy
Bi1 0.500 0.500 0.500 1
Tc1 0.500 0.000 0.500 1
Tc2 0.000 0.500 0.500 1
Tc3 0.000 0.000 0.000 1
Tc4 0.500 0.500 0.000 1


2.
# NaSr3Pd GGA-PBE optimized geometry
# Final energy = -2.50 eV/atom
# SG = C2/c, No. 15
# ΔE to the lowest computed polymorph = 0.0957 eV per atom
# Crystal system = monoclinic
data_NaSr3Pd
_symmetry_space_group_name_H-M 'P 1'
_symmetry_Int_Tables_number 1
_symmetry_space_group_name_Hall 'P 1'
_cell_length_a 13.790
_cell_length_b 10.805
_cell_length_c 10.805
_cell_angle_alpha 82.47
_cell_angle_beta 124.37
_cell_angle_gamma 55.63
loop_
_atom_site_label
_atom_site_fract_x
_atom_site_fract_y
_atom_site_fract_z
_atom_site_occupancy
Sr1 0.670 0.362 0.275 1
Sr2 0.440 0.161 0.780 1
Na1 0.250 0.434 0.934 1
Sr3 0.170 0.225 0.138 1
Na2 0.750 0.970 0.470 1
Na3 0.750 0.566 0.066 1
Sr4 0.940 0.720 0.339 1
Sr5 0.560 0.839 0.220 1
Sr6 0.830 0.775 0.862 1
Na4 0.250 0.030 0.530 1
Pd1 0.877 0.588 0.684 1
Sr7 0.330 0.638 0.725 1
Sr8 0.630 0.572 0.600 1
Sr9 0.060 0.280 0.661 1
Sr10 0.130 0.900 0.928 1
Sr11 0.870 0.100 0.072 1
Sr12 0.370 0.428 0.400 1
Pd2 0.123 0.412 0.316 1
Pd3 0.623 0.184 0.088 1
Pd4 0.377 0.816 0.912 1


3.
# DyMgPd GGA-PBE optimized geometry
# Final energy = -4.46 eV/atom
# SG = Pmma, No. 51
# Crystal system = orthorhombic
data_DyMgPd
_symmetry_space_group_name_H-M 'P 1'
_symmetry_Int_Tables_number 1
_symmetry_space_group_name_Hall 'P 1'
_cell_length_a 3.977
_cell_length_b 7.551
_cell_length_c 13.319
_cell_angle_alpha 90.00
_cell_angle_beta 90.00
_cell_angle_gamma 90.00
loop_
_atom_site_label
_atom_site_fract_x
_atom_site_fract_y
_atom_site_fract_z
_atom_site_occupancy
Pd1 0.500 0.940 0.901 1
Mg1 0.500 0.564 0.623 1
Pd2 0.500 0.940 0.599 1
Dy1 0.000 0.225 0.544 1
Dy2 0.000 0.775 0.456 1
Mg2 0.500 0.436 0.377 1
Dy3 0.000 0.225 0.956 1
Pd3 0.000 0.554 0.250 1
Mg3 0.500 0.797 0.250 1
Pd4 0.500 0.060 0.099 1
Pd5 0.500 0.060 0.401 1
Dy4 0.000 0.847 0.750 1
Dy5 0.000 0.775 0.044 1
Mg4 0.500 0.436 0.123 1
Dy6 0.000 0.153 0.250 1
Mg5 0.500 0.564 0.877 1
Pd6 0.000 0.446 0.750 1
Mg6 0.500 0.203 0.750 1


4.
# CePr3Dy3Te8 GGA-PBE optimized geometry
# Final energy = -5.35 eV/atom
# Formation energy from raw total energies = -32.31 kcal/mol of atoms
# SG = R-3m, No. 166
# Crystal system = trigonal
data_CePr3Dy3Te8
_symmetry_space_group_name_H-M 'P 1'
_symmetry_Int_Tables_number 1
_symmetry_space_group_name_Hall 'P 1'
_cell_length_a 8.857
_cell_length_b 8.860
_cell_length_c 8.875
_cell_angle_alpha 119.94
_cell_angle_beta 90.00
_cell_angle_gamma 120.01
loop_
_atom_site_label
_atom_site_fract_x
_atom_site_fract_y
_atom_site_fract_z
_atom_site_occupancy
Te1 0.258 0.990 0.748 1
Te2 0.255 0.509 0.264 1
Te3 0.742 0.484 0.252 1
Te4 0.258 0.516 0.748 1
Pr1 0.500 0.500 0.000 1
Dy1 0.000 0.500 0.500 1
Te5 0.745 0.491 0.736 1
Te6 0.733 0.991 0.748 1
Pr2 0.000 0.500 0.000 1
Ce1 0.000 0.000 0.500 1
Te7 0.742 0.010 0.252 1
Pr3 0.000 0.000 0.000 1
Dy2 0.500 0.000 0.500 1
Te8 0.267 0.009 0.252 1
Dy3 0.500 0.500 0.500 1


5.
# TbErPt GGA-PBE optimized geometry
# Final energy = -5.95 eV/atom
# SG = Cmcm, No. 63
# ΔE to the lowest computed polymorph = 0.0121 eV per atom
# Crystal system = orthorhombic
data_TbErPt
_symmetry_space_group_name_H-M 'P 1'
_symmetry_Int_Tables_number 1
_symmetry_space_group_name_Hall 'P 1'
_cell_length_a 6.850
_cell_length_b 6.243
_cell_length_c 6.243
_cell_angle_alpha 144.43
_cell_angle_beta 90.00
_cell_angle_gamma 90.00
loop_
_atom_site_label
_atom_site_fract_x
_atom_site_fract_y
_atom_site_fract_z
_atom_site_occupancy
Pt1 0.750 0.617 0.383 1
Er1 0.750 0.288 0.712 1
Tb1 0.000 0.000 0.000 1
Tb2 0.500 0.000 0.000 1
Pt2 0.250 0.383 0.617 1
Er2 0.250 0.712 0.288 1


6.
# Ac2PrPt3 GGA-PBE optimized geometry
# Final energy = -6.31 eV/atom
# SG = I4/mmm, No. 139
# Crystal system = tetragonal
data_Ac2PrPt3
_symmetry_space_group_name_H-M 'P 1'
_symmetry_Int_Tables_number 1
_symmetry_space_group_name_Hall 'P 1'
_cell_length_a 4.339
_cell_length_b 4.339
_cell_length_c 9.706
_cell_angle_alpha 102.91
_cell_angle_beta 102.91
_cell_angle_gamma 90.04
loop_
_atom_site_label
_atom_site_fract_x
_atom_site_fract_y
_atom_site_fract_z
_atom_site_occupancy
Ac1 0.100 0.101 0.205 1
Ac2 0.769 0.770 0.543 1
Pt1 0.599 0.600 0.203 1
Pr1 0.434 0.436 0.874 1
Pt2 0.934 0.936 0.874 1
Pt3 0.270 0.271 0.545 1


Number 1: size of the total moment 1.1 μB/cell. Number 2: size of the total moment 0.0 μB/cell. Number 3: size of the total moment 0.0 μB/cell. Number 4: size of the total moment 1.4 μB/cell. Number 5: size of the total moment 0.0 μB/cell. Number 6: size of the total moment 0.0 μB/cell.